{"formula": "Li7In2Ga2", "functional": "PBE-GGA", "state": "relaxed", "lattice_angstrom": [[4.7751, -4.6552, 0.0000], [4.7751, 4.6552, 0.0000], [-2.0103, 0.0000, 4.4836]], "species": ["Li", "Li", "Li", "Li", "Li", "Li", "Li", "In", "In", "Ga", "Ga"], "fractional_positions": [[0.0000, 0.0000, 0.0000], [0.0601, 0.5851, 0.8221], [0.4149, 0.9399, 0.1779], [0.4220, 0.4220, 0.2017], [0.5780, 0.5780, 0.7983], [0.5851, 0.0601, 0.8221], [0.9399, 0.4149, 0.1779], [0.1959, 0.8041, 0.5000], [0.8041, 0.1959, 0.5000], [0.2455, 0.2455, 0.5948], [0.7545, 0.7545, 0.4052]], "formation_enthalpy_0k_mev_per_atom": -213.1, "volume_a3_per_atom": 18.12, "m_tot_mub_per_cell": 0.00}

{"formula": "Ba3Pr2NdTe6", "functional": "PBE-GGA", "state": "relaxed", "lattice_angstrom": [[4.0562, -7.0130, 0.0000], [4.0562, 7.0130, 0.0000], [-2.7012, 0.0000, 7.9176]], "species": ["Ba", "Ba", "Ba", "Pr", "Pr", "Nd", "Te", "Te", "Te", "Te", "Te", "Te"], "fractional_positions": [[0.0000, 0.0000, 0.0000], [0.3326, 0.6674, 0.0000], [0.6674, 0.3326, 0.0000], [0.1663, 0.8337, 0.5000], [0.8337, 0.1663, 0.5000], [0.5000, 0.5000, 0.5000], [0.0930, 0.4248, 0.2740], [0.2439, 0.2439, 0.7267], [0.4248, 0.0930, 0.2740], [0.5752, 0.9070, 0.7260], [0.7561, 0.7561, 0.2733], [0.9070, 0.5752, 0.7260]], "energy_ev_per_atom": -4.83, "volume_a3_per_atom": 37.54, "m_tot_mub_per_cell": 0.00}